The following is a PBE-GGA calculation of a relaxed KTeRh2 crystal, from the Alexandria database.

Results
**ΔE_f (raw)**: 0.480 eV/atom
**Total magnetic moment**: 0.00 μB per atom
**Raw total energy**: -17.023 eV for the cell shown
**Crystal system**: monoclinic

```
KTeRh2
1.0
5.6026 0.0045 0.0138
-2.8076 4.8980 0.0044
-0.0125 0.9366 2.8926
K Rh Te
1 2 1
Direct
0.5000 0.5000 0.0000
0.0000 0.0000 0.0000
0.5000 0.0000 0.5000
0.0000 0.5000 0.5000
```

---

The following is a PBE-GGA calculation of a relaxed Cu5Pb4 crystal, from the Alexandria database.

Results
**Energy relative to the lowest polymorph listed for this composition**: 1.18 eV/f.u.
**Total magnetic moment**: 0.00 μB per atom
**Energy relative to the elements**: 0.371 eV/atom
**Raw total energy**: -63.953 eV for the cell shown
**Crystal system**: hexagonal

```
Cu5Pb4
1.0
8.4690 0.0000 0.0000
-4.2345 7.3344 0.0000
0.0000 0.0000 5.9241
Pb Cu
8 10
Direct
0.0000 0.0000 0.0000
0.0000 0.0000 0.5000
0.0000 0.3732 0.2500
0.6268 0.6268 0.2500
0.3732 0.0000 0.2500
0.0000 0.6268 0.7500
0.3732 0.3732 0.7500
0.6268 0.0000 0.7500
0.0000 0.6913 0.2500
0.3087 0.3087 0.2500
0.6913 0.0000 0.2500
0.0000 0.3087 0.7500
0.6913 0.6913 0.7500
0.3087 0.0000 0.7500
0.6667 0.3333 0.0000
0.3333 0.6667 0.5000
0.3333 0.6667 0.0000
0.6667 0.3333 0.5000
```

---

The following is a PBE-GGA calculation of a relaxed LiLaCl crystal, from the Alexandria database.

Results
**Energy relative to the lowest polymorph listed for this composition**: 0.90 eV/f.u.
**ΔE_f (raw)**: -0.635 eV/atom
**Total magnetic moment**: 0.27 μB per atom
**Raw total energy**: -10.594 eV for the cell shown
**Crystal system**: cubic

```
LiLaCl
1.0
-3.8143 2.1503 -2.0369
-3.8578 -2.6163 -1.2626
-4.1278 0.4386 2.4679
Cl La Li
1 1 1
Direct
0.7500 0.7500 0.7500
0.0000 0.0000 0.0000
0.5000 0.5000 0.5000
```

---

The following is a PBE-GGA calculation of a relaxed LiFeAs2 crystal, from the Alexandria database.

Results
**Energy relative to the lowest polymorph listed for this composition**: 0.92 eV/f.u.
**Total magnetic moment**: 0.57 μB per atom
**Energy relative to the elements**: -0.024 eV/atom
**Raw total energy**: -19.772 eV for the cell shown
**Crystal system**: tetragonal

```
LiFeAs2
1.0
4.2136 0.0000 0.0000
0.0000 4.2071 0.0000
0.0000 0.0000 3.3610
As Fe Li
2 1 1
Direct
0.0000 0.0000 0.0000
0.5000 0.5000 0.0000
0.5000 0.0000 0.5000
0.0000 0.5000 0.5000
```

---

The following is a PBE-GGA calculation of a relaxed In2SiOs crystal, from the Alexandria database.

Results
**ΔE_f (raw)**: 0.159 eV/atom
**Total magnetic moment**: 0.00 μB per atom
**Raw total energy**: -21.493 eV for the cell shown
**Crystal system**: monoclinic

```
In2SiOs
1.0
-2.3528 1.4196 2.7637
-3.1512 -1.8272 -1.7442
-0.7658 -4.9297 1.8803
In Os Si
2 1 1
Direct
0.0000 0.9754 0.9243
0.5000 0.2777 0.3189
0.0000 0.6889 0.4962
0.5000 0.5580 0.7605
```